LaPmPrLu after structural relaxation, computed with PBE-GGA.

For the total energy, the calculation gives -4.64 eV/atom. For the density, the calculation gives 7.2 g/cm³. As for the crystal system: cubic. The formation energy comes out at 0.1052 eV per atom. For the density of states at the Fermi level, the calculation gives 8.08 states/eV/cell.

```
LaPmPrLu
1.0
-4.461 3.594 -0.913
-5.364 -1.586 1.536
-2.613 2.579 4.491
Pm Pr Lu La
1 1 1 1
Direct
0.000 0.000 0.000 Pm
0.750 0.750 0.750 Pr
0.500 0.500 0.500 Lu
0.250 0.250 0.250 La
```